(1)
Below is a relaxed MgScP crystal, with properties calculated at the PBE-GGA level.

a = 4.501 Å, b = 4.501 Å, c = 4.501 Å
α = 60.00°, β = 60.00°, γ = 60.00°
Atoms (fractional coordinates):
Mg  0.000  0.000  0.000
P  0.500  0.500  0.500
Sc  0.750  0.750  0.750

Computed properties:
* electronic total energy: -0.3394 Ry/atom
* formation enthalpy at 0 K: -0.1723 eV/atom
* space group: F-43m
* calculated density: 2.58 g/cm3

=====

(2)
Below is a relaxed Pr3Zn2Ni3 crystal, with properties calculated at the PBE-GGA level.

a = 5.845 Å, b = 7.689 Å, c = 14.858 Å
α = 90.00°, β = 90.00°, γ = 90.00°
Atoms (fractional coordinates):
Pr  0.155  0.453  0.396
Pr  0.655  0.047  0.604
Pr  0.845  0.547  0.896
Pr  0.345  0.953  0.104
Pr  0.845  0.547  0.604
Pr  0.345  0.953  0.396
Pr  0.155  0.453  0.104
Pr  0.655  0.047  0.896
Pr  0.620  0.314  0.250
Pr  0.120  0.186  0.750
Pr  0.380  0.686  0.750
Pr  0.880  0.814  0.250
Zn  0.858  0.109  0.401
Zn  0.358  0.391  0.599
Zn  0.142  0.891  0.901
Zn  0.642  0.609  0.099
Zn  0.142  0.891  0.599
Zn  0.642  0.609  0.401
Zn  0.858  0.109  0.099
Zn  0.358  0.391  0.901
Ni  0.084  0.168  0.250
Ni  0.584  0.332  0.750
Ni  0.916  0.832  0.750
Ni  0.416  0.668  0.250
Ni  0.583  0.312  0.462
Ni  0.083  0.188  0.538
Ni  0.417  0.688  0.962
Ni  0.917  0.812  0.038
Ni  0.417  0.688  0.538
Ni  0.917  0.812  0.462
Ni  0.583  0.312  0.038
Ni  0.083  0.188  0.962

Computed properties:
* electronic total energy: -0.3363 Ry/atom
* formation enthalpy at 0 K: -0.2963 eV/atom
* space group: Pnma
* calculated density: 7.26 g/cm3

=====

(3)
Below is a relaxed BePRu4 crystal, with properties calculated at the PBE-GGA level.

a = 5.052 Å, b = 5.052 Å, c = 5.052 Å
α = 60.00°, β = 60.00°, γ = 60.00°
Atoms (fractional coordinates):
Be  0.750  0.750  0.750
P  0.000  0.000  0.000
Ru  0.876  0.375  0.375
Ru  0.375  0.375  0.876
Ru  0.375  0.876  0.375
Ru  0.375  0.375  0.375

Computed properties:
* electronic total energy: -0.5044 Ry/atom
* formation enthalpy at 0 K: 0.8436 eV/atom
* space group: F-43m
* calculated density: 8.09 g/cm3

=====

(4)
Below is a relaxed Tb2SnC crystal, with properties calculated at the PBE-GGA level.

a = 4.845 Å, b = 4.845 Å, c = 7.940 Å
α = 72.23°, β = 72.23°, γ = 60.00°
Atoms (fractional coordinates):
C  0.000  0.000  0.000
Tb  0.103  0.103  0.691
Tb  0.897  0.897  0.309
Sn  0.500  0.500  0.500

Computed properties:
* electronic total energy: -0.3583 Ry/atom
* formation enthalpy at 0 K: 0.7469 eV/atom
* space group: R-3m
* calculated density: 4.93 g/cm3

=====

Question: Among the records above, which one has the lowest calculated density?
Answer: MgScP